{"formula": "TaSe2Br5", "functional": "PBE", "state": "relaxed", "lattice": [[-6.9158, 0.3080, 3.0084], [-6.1627, -0.9536, -5.3290], [-4.1134, -6.6001, 1.1678]], "species": ["Br", "Br", "Se", "Br", "Ta", "Br", "Br", "Se"], "fractional_positions": [[0.0128, 0.6555, 0.0923], [0.5814, 0.0028, 0.9973], [0.3013, 0.5003, 0.4357], [0.7959, 0.3467, 0.9055], [0.9054, 0.0010, 0.9973], [0.2290, 0.9951, 0.6858], [0.9092, 0.0056, 0.3039], [0.4879, 0.4931, 0.5821]], "density_g_cm3": 3.3, "raw_formation_energy_ev_per_atom": -0.540}

---

{"formula": "TaSeBr4", "functional": "PBE", "state": "relaxed", "lattice": [[-4.1763, -2.6024, 3.3542], [-5.3829, 2.4938, 0.5192], [-4.7246, -2.5514, -2.5755]], "species": ["Br", "Se", "Br", "Br", "Br", "Ta"], "fractional_positions": [[0.3745, 0.8765, 0.3745], [0.7500, 0.7500, 0.7500], [0.8765, 0.3745, 0.3745], [0.3745, 0.3745, 0.8765], [0.3745, 0.3745, 0.3745], [0.0000, 0.0000, 0.0000]], "density_g_cm3": 6.4, "raw_formation_energy_ev_per_atom": 1.257}

---

{"formula": "TaSe3Br", "functional": "PBE", "state": "relaxed", "lattice": [[-4.2172, 2.3531, -0.2666], [1.1553, -1.9865, 7.8069], [5.4582, 9.3847, -3.4401]], "species": ["Se", "Ta", "Se", "Ta", "Br", "Se", "Se", "Br", "Se", "Se"], "fractional_positions": [[0.0000, 0.0022, 0.1760], [0.8462, 0.6929, 0.1492], [0.7220, 0.4440, 0.8940], [0.1538, 0.3071, 0.8508], [0.2773, 0.5548, 0.6679], [0.0000, 0.9978, 0.8240], [0.1120, 0.2221, 0.6145], [0.7227, 0.4452, 0.3321], [0.8880, 0.7779, 0.3855], [0.2780, 0.5560, 0.1060]], "e_above_lowest_polymorph_mev_per_atom": 0.0, "density_g_cm3": 4.3, "raw_formation_energy_ev_per_atom": -0.376}

---

{"formula": "Ta2SeBr", "functional": "PBE", "state": "relaxed", "lattice": [[3.2495, 0.0000, 0.0000], [0.0000, 3.4862, 0.0790], [0.0000, 1.4811, 8.4336]], "species": ["Ta", "Ta", "Se", "Br"], "fractional_positions": [[0.5000, 0.4805, 0.1976], [0.0000, 0.0394, 0.0027], [0.5000, 0.6154, 0.8550], [0.0000, 0.3648, 0.4446]], "e_above_lowest_polymorph_mev_per_atom": 58.9, "density_g_cm3": 9.1, "raw_formation_energy_ev_per_atom": -0.346}

---

{"formula": "TaSeBr", "functional": "PBE", "state": "relaxed", "lattice": [[4.6543, 0.0000, 0.0000], [2.3272, 4.0308, 0.0000], [2.3272, 1.3436, 3.8002]], "species": ["Br", "Ta", "Se"], "fractional_positions": [[0.5000, 0.5000, 0.5000], [0.0000, 0.0000, 0.0000], [0.7500, 0.7500, 0.7500]], "density_g_cm3": 7.9, "raw_formation_energy_ev_per_atom": 0.867}

---

{"formula": "Ta2SeBr", "functional": "PBE", "state": "relaxed", "lattice": [[8.6833, -0.0020, -0.0012], [8.1115, 3.0989, -0.0012], [8.1115, 1.4957, 2.7140]], "species": ["Ta", "Ta", "Se", "Br"], "fractional_positions": [[0.4955, 0.4955, 0.4955], [0.0045, 0.0045, 0.0045], [0.7500, 0.7500, 0.7500], [0.2500, 0.2500, 0.2500]], "e_above_lowest_polymorph_mev_per_atom": 591.4, "density_g_cm3": 11.8, "raw_formation_energy_ev_per_atom": 0.186}